Here is BaCuBr after structural relaxation from Alexandria. Energies are from PBE.

* DFT total energy: -3.106 eV/atom
* ΔE_f (raw): -542 meV/atom
* distance to the lowest polymorph of the same formula: 197 meV per atom

Unit cell a=7.606 b=7.606 c=7.606 alpha=90.00 beta=90.00 gamma=90.00
Space group F-43m (No. 216)
Symmetry-distinct sites (fractional):
1 Ba 0.000 0.000 0.000 x4
2 Cu 0.000 0.000 0.500 x4
3 Br 0.250 0.250 0.250 x4